No. 1
# P2OsAu

P2OsAu after structural relaxation (PBE-GGA, Alexandria).

Summary:
The calculation puts the calculated total energy at -5.64 eV/atom. The space-group type is No. 119. The formation enthalpy at 0 K is 0.6916 eV/atom. The relative energy among the computed polymorphs comes out at 740.2 meV/atom.

Unit cell a=5.0720 b=5.0720 c=5.0720 alpha=137.00 beta=137.00 gamma=62.44
Sites, in units of the cell vectors:
P1 0.2500 0.7500 0.5000
P2 0.0000 0.0000 0.0000
Au1 0.5000 0.5000 0.0000
Os1 0.7500 0.2500 0.5000

=====

No. 2
# POsAu2

POsAu2 after structural relaxation (PBE-GGA, Alexandria).

Summary:
The calculation puts the calculated total energy at -5.12 eV/atom. The space-group type is No. 47. The formation enthalpy at 0 K is 0.6763 eV/atom.

Unit cell a=2.9943 b=4.3866 c=4.9595 alpha=90.00 beta=90.00 gamma=90.00
Each line ends with the local moment (μB).
Sites, in units of the cell vectors:
P1 0.0000 0.5000 0.5000  0.01
Au1 0.5000 0.5000 0.0000  0.01
Au2 0.0000 0.0000 0.0000  0.01
Os1 0.5000 0.0000 0.5000  0.16

=====

No. 3
# P2OsAu

P2OsAu after structural relaxation (PBE-GGA, Alexandria).

Summary:
The calculation puts the calculated total energy at -6.17 eV/atom. The space-group type is No. 166. The formation enthalpy at 0 K is 0.1663 eV/atom. The relative energy among the computed polymorphs comes out at 214.9 meV/atom.

Unit cell a=8.0006 b=8.0006 c=8.0006 alpha=21.74 beta=21.74 gamma=21.74
Sites, in units of the cell vectors:
Au1 0.2500 0.2500 0.2500
P1 0.0092 0.0092 0.0092
P2 0.4908 0.4908 0.4908
Os1 0.7500 0.7500 0.7500

=====

No. 4
# P2OsAu

P2OsAu after structural relaxation (PBE-GGA, Alexandria).

Summary:
The calculation puts the calculated total energy at -6.10 eV/atom. The space-group type is No. 6. The formation enthalpy at 0 K is 0.2293 eV/atom. The relative energy among the computed polymorphs comes out at 277.8 meV/atom.

Unit cell a=4.7686 b=3.2007 c=4.3039 alpha=77.80 beta=90.00 gamma=90.00
Sites, in units of the cell vectors:
Au1 0.0000 0.3861 0.4836
P1 0.0000 0.7950 0.9435
P2 0.5000 0.3422 0.2391
Os1 0.5000 0.9767 0.8338

=====

No. 5
# POs3Au

POs3Au after structural relaxation (PBE-GGA, Alexandria).

Summary:
The calculation puts the calculated total energy at -5.26 eV/atom. The space-group type is No. 221. The formation enthalpy at 0 K is 3.2179 eV/atom. The relative energy among the computed polymorphs comes out at 2187.9 meV/atom.

Unit cell a=4.8748 b=4.8748 c=4.8748 alpha=90.00 beta=90.00 gamma=90.00
Each line ends with the local moment (μB).
Sites, in units of the cell vectors:
P1 0.5000 0.5000 0.5000  -0.12
Au1 0.0000 0.0000 0.0000  0.28
Os1 0.0000 0.5000 0.0000  2.02
Os2 0.5000 0.0000 0.0000  1.54
Os3 0.0000 0.0000 0.5000  2.35

=====

No. 6
# P2OsAu

P2OsAu after structural relaxation (PBE-GGA, Alexandria).

Summary:
The calculation puts the calculated total energy at -6.13 eV/atom. The space-group type is No. 8. The formation enthalpy at 0 K is 0.1969 eV/atom. The relative energy among the computed polymorphs comes out at 245.4 meV/atom.

Unit cell a=6.3997 b=6.3997 c=3.7961 alpha=80.24 beta=80.24 gamma=25.63
Sites, in units of the cell vectors:
P1 0.7271 0.7271 0.7304
P2 0.9364 0.9364 0.0842
Au1 0.5560 0.5560 0.4923
Os1 0.2804 0.2804 0.1931

=====

No. 7
# POsAu2

POsAu2 after structural relaxation (PBE-GGA, Alexandria).

Summary:
The calculation puts the calculated total energy at -5.07 eV/atom. The space-group type is No. 123. The formation enthalpy at 0 K is 0.7324 eV/atom.

Unit cell a=3.8023 b=3.8023 c=4.4816 alpha=90.00 beta=90.00 gamma=90.00
Sites, in units of the cell vectors:
Au1 0.0000 0.5000 0.0000
Au2 0.5000 0.0000 0.0000
Os1 0.5000 0.5000 0.5000
P1 0.0000 0.0000 0.5000

=====

No. 8
# POs2Au

POs2Au after structural relaxation (PBE-GGA, Alexandria).

Summary:
The calculation puts the calculated total energy at -7.07 eV/atom. The space-group type is No. 123. The formation enthalpy at 0 K is 0.7215 eV/atom.

Unit cell a=4.3446 b=4.3446 c=3.1208 alpha=90.00 beta=90.00 gamma=90.00
Sites, in units of the cell vectors:
P1 0.5000 0.5000 0.5000
Os1 0.5000 0.0000 0.0000
Os2 0.0000 0.5000 0.0000
Au1 0.0000 0.0000 0.5000

=====

No. 9
# POsAu2

POsAu2 after structural relaxation (PBE-GGA, Alexandria).

Summary:
The calculation puts the calculated total energy at -5.64 eV/atom. The space-group type is No. 160. The formation enthalpy at 0 K is 0.1538 eV/atom.

Unit cell a=8.9884 b=8.9884 c=8.9884 alpha=18.92 beta=18.92 gamma=18.92
Sites, in units of the cell vectors:
Au1 0.9974 0.9974 0.9974
Au2 0.7549 0.7549 0.7549
Os1 0.5109 0.5109 0.5109
P1 0.2368 0.2368 0.2368

=====

No. 10
# POs2Au

POs2Au after structural relaxation (PBE-GGA, Alexandria).

Summary:
The calculation puts the calculated total energy at -6.92 eV/atom. The space-group type is No. 216. The formation enthalpy at 0 K is 0.8705 eV/atom.

Unit cell a=4.4253 b=4.4253 c=4.4253 alpha=60.00 beta=60.00 gamma=60.00
Sites, in units of the cell vectors:
Os1 0.7500 0.7500 0.7500
Os2 0.0000 0.0000 0.0000
P1 0.2500 0.2500 0.2500
Au1 0.5000 0.5000 0.5000

=====

No. 11
# P2OsAu

P2OsAu after structural relaxation (PBE-GGA, Alexandria).

Summary:
The calculation puts the calculated total energy at -5.72 eV/atom. The space-group type is No. 65. The formation enthalpy at 0 K is 0.6072 eV/atom. The relative energy among the computed polymorphs comes out at 655.7 meV/atom.

Unit cell a=4.4076 b=4.4076 c=3.0638 alpha=90.00 beta=90.00 gamma=90.10
Sites, in units of the cell vectors:
P1 0.5000 0.5000 0.0000
P2 0.0000 0.0000 0.0000
Au1 0.5000 0.0000 0.5000
Os1 0.0000 0.5000 0.5000

=====

No. 12
# POs2Au

POs2Au after structural relaxation (PBE-GGA, Alexandria).

Summary:
The calculation puts the calculated total energy at -6.77 eV/atom. The space-group type is No. 122. The formation enthalpy at 0 K is 1.0172 eV/atom.

Unit cell a=5.2633 b=5.2633 c=6.9761 alpha=67.84 beta=67.84 gamma=90.00
Sites, in units of the cell vectors:
Os1 0.5703 0.1250 0.2500
Os2 0.3750 0.4297 0.7500
Os3 0.8750 0.8203 0.7500
Os4 0.1797 0.6250 0.2500
P1 0.5000 0.5000 0.0000
P2 0.2500 0.7500 0.5000
Au1 0.0000 0.0000 0.0000
Au2 0.7500 0.2500 0.5000